1.
First-principles (PBE-GGA) data for an optimized crystal structure of Ac2LaSmBi5, as listed in Alexandria via LeMat-Bulk.

Computed properties:
calculated volume	382.9	Å³ per cell
ΔH_f (0 K)	-0.33	eV/atom
raw total energy	-4.476	eV per atom

CIF file:
```
data_Ac2LaSmBi5
_space_group_name_H-M_alt 'P 4/m m m'
_space_group_IT_number 123
_space_group_name_Hall '-P 4 2'
_cell_length_a 5.563
_cell_length_b 5.563
_cell_length_c 12.374
_cell_angle_alpha 90.00
_cell_angle_beta 90.00
_cell_angle_gamma 90.00
loop_
_atom_site_label
_atom_site_fract_x
_atom_site_fract_y
_atom_site_fract_z
_atom_site_occupancy
Ac1 0.000 0.000 0.221 1
La1 0.500 0.500 0.500 1
Sm1 0.500 0.500 0.000 1
Bi1 0.000 0.000 0.500 1
Bi2 0.000 0.500 0.000 1
Bi3 0.500 0.500 0.251 1
```

2.
First-principles (PBE-GGA) data for an optimized crystal structure of AcLaSnBi, as listed in Alexandria via LeMat-Bulk.

Computed properties:
calculated volume	544.9	Å³ per cell
ΔH_f (0 K)	-0.66	eV/atom
raw total energy	-4.892	eV per atom

CIF file:
```
data_AcLaSnBi
_space_group_name_H-M_alt 'F -4 3 m'
_space_group_IT_number 216
_space_group_name_Hall 'F -4 2 3'
_cell_length_a 8.168
_cell_length_b 8.168
_cell_length_c 8.168
_cell_angle_alpha 90.00
_cell_angle_beta 90.00
_cell_angle_gamma 90.00
loop_
_atom_site_label
_atom_site_fract_x
_atom_site_fract_y
_atom_site_fract_z
_atom_site_occupancy
Ac1 0.000 0.000 0.000 1
La1 0.000 0.000 0.500 1
Sn1 0.250 0.250 0.250 1
Bi1 0.250 0.250 0.750 1
```

3.
First-principles (PBE-GGA) data for an optimized crystal structure of AcLa2TbBi4, as listed in Alexandria via LeMat-Bulk.

Computed properties:
calculated volume	294.1	Å³ per cell
ΔH_f (0 K)	-0.98	eV/atom
raw total energy	-5.243	eV per atom

CIF file:
```
data_AcLa2TbBi4
_space_group_name_H-M_alt 'P 1 2/m 1'
_space_group_IT_number 10
_cell_length_a 8.138
_cell_length_b 4.708
_cell_length_c 8.143
_cell_angle_alpha 90.00
_cell_angle_beta 109.46
_cell_angle_gamma 90.00
loop_
_space_group_symop_operation_xyz
'x,y,z'
'-x,-y,-z'
'-x,y,-z'
'x,-y,z'
loop_
_atom_site_label
_atom_site_fract_x
_atom_site_fract_y
_atom_site_fract_z
_atom_site_occupancy
Ac1 0.000 0.000 0.000 1
La1 0.500 0.000 0.500 1
La2 0.500 0.500 0.000 1
Tb1 0.000 0.500 0.500 1
Bi1 0.246 0.000 0.739 1
Bi2 0.253 0.500 0.261 1
```

4.
First-principles (PBE-GGA) data for an optimized crystal structure of Ac2LaBi2Te2, as listed in Alexandria via LeMat-Bulk.

Computed properties:
uncorrected formation energy	-0.7958	eV/atom
calculated volume	615.9	Å³ per cell
raw total energy	-4.680	eV per atom

CIF file:
```
data_Ac2LaBi2Te2
_space_group_name_H-M_alt 'I 4/m m m'
_space_group_IT_number 139
_space_group_name_Hall '-I 4 2'
_cell_length_a 6.087
_cell_length_b 6.087
_cell_length_c 16.621
_cell_angle_alpha 90.00
_cell_angle_beta 90.00
_cell_angle_gamma 90.00
loop_
_atom_site_label
_atom_site_fract_x
_atom_site_fract_y
_atom_site_fract_z
_atom_site_occupancy
Ac1 0.000 0.000 0.122 1
La1 0.000 0.000 0.500 1
Bi1 0.000 0.500 0.000 1
Te1 0.000 0.000 0.311 1
```

5.
First-principles (PBE-GGA) data for an optimized crystal structure of AcLa2ThBi4, as listed in Alexandria via LeMat-Bulk.

Computed properties:
calculated volume	296.8	Å³ per cell
ΔH_f (0 K)	-0.93	eV/atom
raw total energy	-5.542	eV per atom

CIF file:
```
data_AcLa2ThBi4
_space_group_name_H-M_alt 'P 1 2/m 1'
_space_group_IT_number 10
_cell_length_a 8.159
_cell_length_b 4.715
_cell_length_c 8.178
_cell_angle_alpha 90.00
_cell_angle_beta 109.40
_cell_angle_gamma 90.00
loop_
_space_group_symop_operation_xyz
'x,y,z'
'-x,-y,-z'
'-x,y,-z'
'x,-y,z'
loop_
_atom_site_label
_atom_site_fract_x
_atom_site_fract_y
_atom_site_fract_z
_atom_site_occupancy
Ac1 0.000 0.000 0.000 1
La1 0.500 0.000 0.500 1
La2 0.500 0.500 0.000 1
Th1 0.000 0.500 0.500 1
Bi1 0.248 0.000 0.742 1
Bi2 0.254 0.500 0.260 1
```

6.
First-principles (PBE-GGA) data for an optimized crystal structure of AcLa2ThBi5, as listed in Alexandria via LeMat-Bulk.

Computed properties:
calculated volume	408.5	Å³ per cell
ΔH_f (0 K)	-0.16	eV/atom
raw total energy	-4.688	eV per atom

CIF file:
```
data_AcLa2ThBi5
_space_group_name_H-M_alt 'P 4/m m m'
_space_group_IT_number 123
_space_group_name_Hall '-P 4 2'
_cell_length_a 5.731
_cell_length_b 5.731
_cell_length_c 12.438
_cell_angle_alpha 90.00
_cell_angle_beta 90.00
_cell_angle_gamma 90.00
loop_
_atom_site_label
_atom_site_fract_x
_atom_site_fract_y
_atom_site_fract_z
_atom_site_occupancy
Ac1 0.000 0.000 0.000 1
La1 0.500 0.500 0.277 1
Th1 0.000 0.000 0.500 1
Bi1 0.000 0.000 0.252 1
Bi2 0.000 0.500 0.500 1
Bi3 0.500 0.500 0.000 1
```

7.
First-principles (PBE-GGA) data for an optimized crystal structure of Ac2LaThBi4, as listed in Alexandria via LeMat-Bulk.

Computed properties:
calculated volume	304.6	Å³ per cell
ΔH_f (0 K)	-0.92	eV/atom
raw total energy	-5.430	eV per atom

CIF file:
```
data_Ac2LaThBi4
_space_group_name_H-M_alt 'P 1 2/m 1'
_space_group_IT_number 10
_cell_length_a 8.231
_cell_length_b 4.752
_cell_length_c 8.254
_cell_angle_alpha 90.00
_cell_angle_beta 109.36
_cell_angle_gamma 90.00
loop_
_space_group_symop_operation_xyz
'x,y,z'
'-x,-y,-z'
'-x,y,-z'
'x,-y,z'
loop_
_atom_site_label
_atom_site_fract_x
_atom_site_fract_y
_atom_site_fract_z
_atom_site_occupancy
Ac1 0.000 0.000 0.000 1
Ac2 0.500 0.500 0.000 1
La1 0.000 0.500 0.500 1
Th1 0.500 0.000 0.500 1
Bi1 0.249 0.000 0.737 1
Bi2 0.258 0.500 0.265 1
```

8.
First-principles (PBE-GGA) data for an optimized crystal structure of AcLaTh2Bi4, as listed in Alexandria via LeMat-Bulk.

Computed properties:
calculated volume	291.7	Å³ per cell
ΔH_f (0 K)	-0.80	eV/atom
raw total energy	-5.724	eV per atom

CIF file:
```
data_AcLaTh2Bi4
_space_group_name_H-M_alt 'P 1 2/m 1'
_space_group_IT_number 10
_cell_length_a 8.104
_cell_length_b 4.683
_cell_length_c 8.151
_cell_angle_alpha 90.00
_cell_angle_beta 109.42
_cell_angle_gamma 90.00
loop_
_space_group_symop_operation_xyz
'x,y,z'
'-x,-y,-z'
'-x,y,-z'
'x,-y,z'
loop_
_atom_site_label
_atom_site_fract_x
_atom_site_fract_y
_atom_site_fract_z
_atom_site_occupancy
Ac1 0.000 0.000 0.000 1
La1 0.500 0.500 0.000 1
Th1 0.000 0.500 0.500 1
Th2 0.500 0.000 0.500 1
Bi1 0.251 0.000 0.741 1
Bi2 0.258 0.500 0.263 1
```

9.
First-principles (PBE-GGA) data for an optimized crystal structure of AcLaTlBi, as listed in Alexandria via LeMat-Bulk.

Computed properties:
calculated volume	154.0	Å³ per cell
ΔH_f (0 K)	-0.55	eV/atom
raw total energy	-4.368	eV per atom

CIF file:
```
data_AcLaTlBi
_space_group_name_H-M_alt 'P 4/m m m'
_space_group_IT_number 123
_space_group_name_Hall '-P 4 2'
_cell_length_a 4.762
_cell_length_b 4.762
_cell_length_c 6.792
_cell_angle_alpha 90.00
_cell_angle_beta 90.00
_cell_angle_gamma 90.00
loop_
_atom_site_label
_atom_site_fract_x
_atom_site_fract_y
_atom_site_fract_z
_atom_site_occupancy
Ac1 0.000 0.000 0.000 1
La1 0.500 0.500 0.500 1
Tl1 0.500 0.500 0.000 1
Bi1 0.000 0.000 0.500 1
```

10.
First-principles (PBE-GGA) data for an optimized crystal structure of AcLaTlBi, as listed in Alexandria via LeMat-Bulk.

Computed properties:
calculated volume	548.6	Å³ per cell
ΔH_f (0 K)	-0.52	eV/atom
raw total energy	-4.338	eV per atom

CIF file:
```
data_AcLaTlBi
_space_group_name_H-M_alt 'F -4 3 m'
_space_group_IT_number 216
_space_group_name_Hall 'F -4 2 3'
_cell_length_a 8.186
_cell_length_b 8.186
_cell_length_c 8.186
_cell_angle_alpha 90.00
_cell_angle_beta 90.00
_cell_angle_gamma 90.00
loop_
_atom_site_label
_atom_site_fract_x
_atom_site_fract_y
_atom_site_fract_z
_atom_site_occupancy
Ac1 0.000 0.000 0.000 1
La1 0.000 0.000 0.500 1
Tl1 0.250 0.250 0.250 1
Bi1 0.250 0.250 0.750 1
```

11.
First-principles (PBE-GGA) data for an optimized crystal structure of AcLa2TmBi4, as listed in Alexandria via LeMat-Bulk.

Computed properties:
calculated volume	291.8	Å³ per cell
ΔH_f (0 K)	-0.95	eV/atom
raw total energy	-5.190	eV per atom

CIF file:
```
data_AcLa2TmBi4
_space_group_name_H-M_alt 'P 1 2/m 1'
_space_group_IT_number 10
_cell_length_a 8.116
_cell_length_b 4.697
_cell_length_c 8.118
_cell_angle_alpha 90.00
_cell_angle_beta 109.49
_cell_angle_gamma 90.00
loop_
_space_group_symop_operation_xyz
'x,y,z'
'-x,-y,-z'
'-x,y,-z'
'x,-y,z'
loop_
_atom_site_label
_atom_site_fract_x
_atom_site_fract_y
_atom_site_fract_z
_atom_site_occupancy
Ac1 0.000 0.000 0.000 1
La1 0.500 0.000 0.500 1
La2 0.500 0.500 0.000 1
Tm1 0.000 0.500 0.500 1
Bi1 0.243 0.000 0.736 1
Bi2 0.252 0.500 0.262 1
```

12.
First-principles (PBE-GGA) data for an optimized crystal structure of AcLaZnBi, as listed in Alexandria via LeMat-Bulk.

Computed properties:
calculated volume	509.7	Å³ per cell
ΔH_f (0 K)	-0.47	eV/atom
raw total energy	-4.019	eV per atom

CIF file:
```
data_AcLaZnBi
_space_group_name_H-M_alt 'F -4 3 m'
_space_group_IT_number 216
_space_group_name_Hall 'F -4 2 3'
_cell_length_a 7.988
_cell_length_b 7.988
_cell_length_c 7.988
_cell_angle_alpha 90.00
_cell_angle_beta 90.00
_cell_angle_gamma 90.00
loop_
_atom_site_label
_atom_site_fract_x
_atom_site_fract_y
_atom_site_fract_z
_atom_site_occupancy
Ac1 0.000 0.000 0.000 1
La1 0.000 0.000 0.500 1
Zn1 0.250 0.250 0.750 1
Bi1 0.250 0.250 0.250 1
```

Listing total magnetization for the structures above in their given order: 0.0; 0.0; 0.0; 0.0; 0.0; 0.0; 0.0; 0.0; 0.0; 0.1; 0.0; 0.0 μB/cell.